A plane-wave DFT calculation with PBE was carried out for a relaxed K3SnBr crystal. Values from VASP.

Quantum ESPRESSO input file:
```
&SYSTEM
  ibrav = 0, nat = 5, ntyp = 3
/
ATOMIC_SPECIES
K 39.10 K.upf
Sn 118.71 Sn.upf
Br 79.90 Br.upf
CELL_PARAMETERS angstrom
-5.192 -3.298 -0.826
-0.482 -0.780 6.138
-3.366 5.199 0.396
ATOMIC_POSITIONS crystal
K 0.000 0.500 0.000
K 0.000 0.000 0.500
K 0.500 0.000 0.000
Sn 0.500 0.500 0.500
Br 0.000 0.000 0.000
```

As for the magnetization: 2.000 μB/f.u. The value obtained for the distance to the lowest polymorph of the same formula is 0.0 meV/atom. The value obtained for the theoretical density is 2.19 g cm⁻³. The space group is No. 221.